This record from Alexandria via LeMat-Bulk describes a relaxed structure of LuCoGeRh. The functional is PBE.

Values from the calculation:
total magnetization: 1.02 Bohr magnetons per cell
ρ: 11.04 g cm⁻³
energy of formation: -543 meV per atom

a = 4.4321 Å, b = 4.4321 Å, c = 4.4321 Å
α = 60.00°, β = 60.00°, γ = 60.00°
Last column: nearest neighbours and their distance in Å.
Atoms (fractional coordinates):
Co1 0.0000 0.0000 0.0000  4 Lu 2.71, 4 Ge 2.71
Ge1 0.2500 0.2500 0.2500  4 Co 2.71, 4 Rh 2.71
Lu1 0.7500 0.7500 0.7500  4 Co 2.71, 4 Rh 2.71
Rh1 0.5000 0.5000 0.5000  4 Ge 2.71, 4 Lu 2.71